VASP calculation (PBE) on a relaxed structure of Dy6Er2Sc3.

Values from the calculation:
- VASP energy (eV per atom) = -5.022
- spin magnetization (μB per atom) = 0.0000
- calculated density (g/cm³) = 7.455
- E_form (eV per atom) = 0.0443
- DOS at the Fermi energy (states/eV per cell) = 16.5

abc: 7.7286 8.4745 12.4496
angles: 47.26 72.07 111.59
With the nearest neighbours (Å) after each atom.
Fractional positions:
Dy1 0.0914 0.6304 0.7308  3 Er 3.40-3.49, 4 Sc 3.43-3.48, 5 Dy 3.44-3.54
Dy2 0.7318 0.0944 0.8156  3 Sc 3.44-3.49, 7 Dy 3.44-3.49, 2 Er 3.47
Dy3 0.9086 0.3696 0.2692  3 Er 3.40-3.49, 4 Sc 3.43-3.48, 5 Dy 3.44-3.54
Dy4 0.2682 0.9056 0.1844  3 Sc 3.44-3.49, 7 Dy 3.44-3.49, 2 Er 3.47
Dy5 0.8057 0.7193 0.5493  3 Sc 3.38-3.40, 3 Er 3.45-3.54, 6 Dy 3.47-3.54
Dy6 0.1943 0.2807 0.4507  3 Sc 3.38-3.40, 3 Er 3.45-3.54, 6 Dy 3.47-3.54
Er1 0.6417 0.4570 0.0895  8 Dy 3.40-3.54, 3 Sc 3.43-3.49, 1 Er 3.50
Er2 0.3583 0.5430 0.9105  8 Dy 3.40-3.54, 3 Sc 3.43-3.49, 1 Er 3.50
Sc1 0.0000 0.0000 0.0000  6 Dy 3.40-3.44, 4 Sc 3.44, 2 Er 3.44
Sc2 0.5440 0.8098 0.3676  3 Sc 3.38-3.44, 7 Dy 3.38-3.49, 2 Er 3.43-3.49
Sc3 0.4560 0.1902 0.6324  3 Sc 3.38-3.44, 7 Dy 3.38-3.49, 2 Er 3.43-3.49

VASP calculation (PBE) on a relaxed structure of DyErSc.

Values from the calculation:
- VASP energy (eV per atom) = -4.930
- spin magnetization (μB per atom) = 0.0016
- calculated density (g/cm³) = 7.018
- distance to the lowest polymorph of the same formula (meV/atom) = 190.9
- E_form (eV per atom) = 0.2352
- DOS at the Fermi energy (states/eV per cell) = 10.6

abc: 3.4036 8.5618 6.0848
angles: 90.00 90.00 90.00
With the nearest neighbours (Å) after each atom.
Fractional positions:
Er1 0.5000 0.1887 0.2500  6 Sc 3.29-3.51, 2 Er 3.40, 4 Dy 3.51
Er2 0.5000 0.8113 0.7500  6 Sc 3.29-3.51, 2 Er 3.40, 4 Dy 3.51
Sc1 0.0000 0.1406 0.7500  6 Er 3.29-3.51, 2 Sc 3.40, 2 Dy 3.43
Sc2 0.0000 0.8594 0.2500  6 Er 3.29-3.51, 2 Sc 3.40, 2 Dy 3.43
Dy1 0.0000 0.5000 0.5000  4 Dy 3.04-3.40
Dy2 0.0000 0.5000 0.0000  4 Dy 3.04-3.40

VASP calculation (PBE) on a relaxed structure of DyEr2Sc6.

Values from the calculation:
- VASP energy (eV per atom) = -5.675
- spin magnetization (μB per atom) = 0.1460
- calculated density (g/cm³) = 5.269
- distance to the lowest polymorph of the same formula (meV/atom) = 0.0
- E_form (eV per atom) = 0.0716
- DOS at the Fermi energy (states/eV per cell) = 15.3

abc: 3.3883 3.3883 24.3057
angles: 90.00 90.00 120.00
With the nearest neighbours (Å) after each atom.
Fractional positions:
Dy1 0.0000 0.0000 0.0000  6 Sc 3.37, 6 Dy 3.39
Er1 0.3333 0.6667 0.3279  6 Sc 3.32-3.35, 6 Er 3.39
Er2 0.3333 0.6667 0.6721  6 Sc 3.32-3.35, 6 Er 3.39
Sc1 0.3333 0.6667 0.8872  9 Sc 3.18-3.39, 3 Dy 3.37
Sc2 0.0000 0.0000 0.4380  1 Sc 3.01, 3 Er 3.32
Sc3 0.0000 0.0000 0.7838  9 Sc 3.18-3.39, 3 Er 3.35
Sc4 0.0000 0.0000 0.2162  9 Sc 3.18-3.39, 3 Er 3.35
Sc5 0.0000 0.0000 0.5620  1 Sc 3.01, 3 Er 3.32
Sc6 0.3333 0.6667 0.1128  9 Sc 3.18-3.39, 3 Dy 3.37

VASP calculation (PBE) on a relaxed structure of DyEr10Sc4.

Values from the calculation:
- VASP energy (eV per atom) = -4.460
- spin magnetization (μB per atom) = 0.0000
- calculated density (g/cm³) = 6.857
- E_form (eV per atom) = 0.5774
- DOS at the Fermi energy (states/eV per cell) = 20.7

abc: 9.0362 8.6264 8.6264
angles: 74.08 58.42 58.42
With the nearest neighbours (Å) after each atom.
Fractional positions:
Dy1 0.0000 0.0000 0.0000  8 Er 3.02
Er1 0.2500 0.5000 0.5000  4 Er 3.32, 4 Sc 3.58
Er2 0.6954 0.3321 0.9107  1 Dy 3.02, 3 Er 3.05-3.32, 1 Sc 3.32
Er3 0.9725 0.0893 0.3321  1 Dy 3.02, 3 Er 3.05-3.32, 1 Sc 3.32
Er4 0.3939 0.9107 0.6679  1 Dy 3.02, 3 Er 3.05-3.32, 1 Sc 3.32
Er5 0.9382 0.6679 0.0893  1 Dy 3.02, 3 Er 3.05-3.32, 1 Sc 3.32
Er6 0.3046 0.6679 0.0893  1 Dy 3.02, 3 Er 3.05-3.32, 1 Sc 3.32
Er7 0.7500 0.5000 0.5000  4 Er 3.32, 4 Sc 3.58
Er8 0.0618 0.3321 0.9107  1 Dy 3.02, 3 Er 3.05-3.32, 1 Sc 3.32
Er9 0.6061 0.0893 0.3321  1 Dy 3.02, 3 Er 3.05-3.32, 1 Sc 3.32
Er10 0.0275 0.9107 0.6679  1 Dy 3.02, 3 Er 3.05-3.32, 1 Sc 3.32
Sc1 0.4622 0.8029 0.2726  8 Er 3.32-3.58, 2 Sc 3.50
Sc2 0.7348 0.7274 0.8029  8 Er 3.32-3.58, 2 Sc 3.50
Sc3 0.2652 0.2726 0.1971  8 Er 3.32-3.58, 2 Sc 3.50
Sc4 0.5378 0.1971 0.7274  8 Er 3.32-3.58, 2 Sc 3.50

VASP calculation (PBE) on a relaxed structure of Dy6ErSc12.

Values from the calculation:
- VASP energy (eV per atom) = -5.178
- spin magnetization (μB per atom) = 0.0316
- calculated density (g/cm³) = 5.096
- E_form (eV per atom) = 0.5145
- DOS at the Fermi energy (states/eV per cell) = 28.2

abc: 8.3234 8.3234 8.3234
angles: 99.80 99.80 99.80
With the nearest neighbours (Å) after each atom.
Fractional positions:
Dy1 0.7420 0.2189 0.2189  4 Sc 2.78-3.03
Dy2 0.2189 0.2189 0.7420  4 Sc 2.78-3.03
Dy3 0.2189 0.7420 0.2189  4 Sc 2.78-3.03
Dy4 0.7811 0.7811 0.2580  4 Sc 2.78-3.03
Dy5 0.2580 0.7811 0.7811  4 Sc 2.78-3.03
Dy6 0.7811 0.2580 0.7811  4 Sc 2.78-3.03
Er1 0.0000 0.0000 0.0000  6 Dy 3.58
Sc1 0.8853 0.1147 0.5000  4 Dy 2.78-3.03, 1 Sc 2.92
Sc2 0.8315 0.5411 0.5411  3 Sc 3.16-3.49, 3 Dy 3.34-3.36
Sc3 0.5411 0.5411 0.8315  3 Sc 3.16-3.49, 3 Dy 3.34-3.36
Sc4 0.4589 0.1685 0.4589  3 Sc 3.16-3.49, 3 Dy 3.34-3.36
Sc5 0.4589 0.4589 0.1685  3 Sc 3.16-3.49, 3 Dy 3.34-3.36
Sc6 0.1685 0.4589 0.4589  3 Sc 3.16-3.49, 3 Dy 3.34-3.36
Sc7 0.1147 0.5000 0.8853  4 Dy 2.78-3.03, 1 Sc 2.92
Sc8 0.5000 0.8853 0.1147  4 Dy 2.78-3.03, 1 Sc 2.92
Sc9 0.1147 0.8853 0.5000  4 Dy 2.78-3.03, 1 Sc 2.92
Sc10 0.8853 0.5000 0.1147  4 Dy 2.78-3.03, 1 Sc 2.92
Sc11 0.5000 0.1147 0.8853  4 Dy 2.78-3.03, 1 Sc 2.92
Sc12 0.5411 0.8315 0.5411  3 Sc 3.16-3.49, 3 Dy 3.34-3.36

VASP calculation (PBE) on a relaxed structure of Dy6ErSc6.

Values from the calculation:
- VASP energy (eV per atom) = -5.168
- spin magnetization (μB per atom) = 0.0674
- calculated density (g/cm³) = 6.102
- E_form (eV per atom) = 0.2296
- DOS at the Fermi energy (states/eV per cell) = 27.9

abc: 6.4020 6.4020 10.8263
angles: 90.00 90.00 120.01
With the nearest neighbours (Å) after each atom.
Fractional positions:
Dy1 0.0000 0.0000 0.6621  6 Sc 3.37, 1 Dy 3.51, 1 Er 3.66
Dy2 0.0000 0.0000 0.3379  6 Sc 3.37, 1 Dy 3.51, 1 Er 3.66
Dy3 0.3333 0.6667 0.0000  6 Sc 3.20
Dy4 0.6667 0.3333 0.0000  6 Sc 3.20
Dy5 0.3334 0.6666 0.5000  6 Sc 3.35, 3 Dy 3.70
Dy6 0.6666 0.3334 0.5000  6 Sc 3.35, 3 Dy 3.70
Er1 0.0000 0.0000 0.0000  8 Dy 3.66-3.70
Sc1 0.0000 0.5000 0.7582  4 Sc 3.20, 6 Dy 3.20-3.37
Sc2 0.5000 0.0000 0.7582  4 Sc 3.20, 6 Dy 3.20-3.37
Sc3 0.5000 0.5000 0.7583  4 Sc 3.20, 6 Dy 3.20-3.37
Sc4 0.5000 0.0000 0.2418  4 Sc 3.20, 6 Dy 3.20-3.37
Sc5 0.0000 0.5000 0.2418  4 Sc 3.20, 6 Dy 3.20-3.37
Sc6 0.5000 0.5000 0.2417  4 Sc 3.20, 6 Dy 3.20-3.37

VASP calculation (PBE) on a relaxed structure of Dy5Er3Sc4.

Values from the calculation:
- VASP energy (eV per atom) = -4.923
- spin magnetization (μB per atom) = 0.0339
- calculated density (g/cm³) = 7.014
- E_form (eV per atom) = 0.2458
- DOS at the Fermi energy (states/eV per cell) = 21.0

abc: 5.7052 8.2450 9.2247
angles: 104.83 71.99 69.76
With the nearest neighbours (Å) after each atom.
Fractional positions:
Dy1 0.7110 0.4621 0.1158  3 Sc 3.08-3.34, 3 Dy 3.26-3.34
Dy2 0.5000 0.5000 0.5000  2 Er 2.85
Dy3 0.3557 0.2203 0.0683  4 Dy 3.12-3.45, 1 Sc 3.35
Dy4 0.6443 0.7797 0.9316  4 Dy 3.12-3.45, 1 Sc 3.35
Dy5 0.2890 0.5379 0.8842  3 Sc 3.08-3.34, 3 Dy 3.26-3.34
Er1 0.6631 0.0502 0.6236  5 Sc 3.22-3.49, 2 Er 3.47, 2 Dy 3.53-3.57
Er2 0.0000 0.5000 0.5000  2 Dy 2.85, 2 Sc 2.98
Er3 0.3369 0.9498 0.3764  5 Sc 3.22-3.49, 2 Er 3.47, 2 Dy 3.53-3.57
Sc1 0.9801 0.3072 0.7326  2 Er 2.98-3.22, 1 Sc 3.04, 1 Dy 3.08
Sc2 0.1192 0.9559 0.8056  2 Sc 3.04-3.19
Sc3 0.8808 0.0441 0.1944  2 Sc 3.04-3.19
Sc4 0.0199 0.6928 0.2674  2 Er 2.98-3.22, 1 Sc 3.04, 1 Dy 3.08

VASP calculation (PBE) on a relaxed structure of Dy3Er4Sc.

Values from the calculation:
- VASP energy (eV per atom) = -4.788
- spin magnetization (μB per atom) = 0.0000
- calculated density (g/cm³) = 8.194
- distance to the lowest polymorph of the same formula (meV/atom) = 0.0
- E_form (eV per atom) = 0.0102
- DOS at the Fermi energy (states/eV per cell) = 26.7

abc: 6.1690 7.1434 11.0502
angles: 90.00 90.00 90.00
With the nearest neighbours (Å) after each atom.
Fractional positions:
Dy1 0.6472 0.6246 0.0000  4 Dy 3.44, 6 Er 3.47-3.58, 2 Sc 3.56-3.57
Dy2 0.9791 0.6235 0.2497  4 Dy 3.44-3.55, 2 Sc 3.44, 6 Er 3.45-3.59
Dy3 0.4791 0.3765 0.2503  4 Dy 3.44-3.55, 2 Sc 3.44, 6 Er 3.45-3.59
Dy4 0.1472 0.3754 0.5000  4 Dy 3.44, 6 Er 3.47-3.58, 2 Sc 3.56-3.57
Dy5 0.4791 0.3765 0.7497  4 Dy 3.44-3.55, 2 Sc 3.44, 6 Er 3.45-3.59
Dy6 0.9791 0.6235 0.7503  4 Dy 3.44-3.55, 2 Sc 3.44, 6 Er 3.45-3.59
Er1 0.1506 0.8742 0.0000  6 Er 3.42-3.60, 4 Dy 3.46-3.58, 2 Sc 3.57-3.58
Er2 0.6455 0.1254 0.0000  6 Er 3.43-3.60, 4 Dy 3.45-3.58, 2 Sc 3.56-3.57
Er3 0.9836 0.1263 0.2461  1 Sc 3.40, 6 Er 3.42-3.57, 5 Dy 3.47-3.59
Er4 0.4836 0.8737 0.2539  1 Sc 3.40, 6 Er 3.42-3.57, 5 Dy 3.47-3.59
Er5 0.1455 0.8746 0.5000  6 Er 3.43-3.60, 4 Dy 3.45-3.58, 2 Sc 3.56-3.57
Er6 0.6506 0.1258 0.5000  6 Er 3.42-3.60, 4 Dy 3.46-3.58, 2 Sc 3.57-3.58
Er7 0.4836 0.8737 0.7461  1 Sc 3.40, 6 Er 3.42-3.57, 5 Dy 3.47-3.59
Er8 0.9836 0.1263 0.7539  1 Sc 3.40, 6 Er 3.42-3.57, 5 Dy 3.47-3.59
Sc1 0.1465 0.3751 0.0000  6 Er 3.40-3.58, 6 Dy 3.44-3.57
Sc2 0.6465 0.6249 0.5000  6 Er 3.40-3.58, 6 Dy 3.44-3.57